# AcScAgBi, relaxed, DFT GGA-PBE
# Formation energy from the elements: -30.3 kJ per mole of atoms
# SG: No. 216
# Calculated volume: 115.8 Å³/cell
# Density of states at the Fermi level: 4.41 states/eV/f.u.
data_AcScAgBi
_space_group_name_H-M_alt 'P 1'
_space_group_IT_number 1
_space_group_name_Hall 'P 1'
_cell_length_a 5.470
_cell_length_b 5.470
_cell_length_c 5.470
_cell_angle_alpha 60.00
_cell_angle_beta 60.00
_cell_angle_gamma 60.00
loop_
_atom_site_label
_atom_site_type_symbol
_atom_site_fract_x
_atom_site_fract_y
_atom_site_fract_z
Sc1 Sc 0.250 0.250 0.250
Ac1 Ac 0.750 0.750 0.750
Bi1 Bi 0.000 0.000 0.000
Ag1 Ag 0.500 0.500 0.500